# 1
A relaxed structure of Pr2Co3Sn5. Source: Alexandria, functional PBE.

Cell lengths 4.398, 26.471, 7.205 Å; angles 90.00, 90.00, 90.00 degrees
Space group Cmc2_1 (No. 36)
Inequivalent atoms, fractional coordinates:
Pr  0.000  0.026  0.000 x4
Pr  0.000  0.328  0.016 x4
Co  0.000  0.107  0.743 x4
Co  0.000  0.278  0.524 x4
Co  0.000  0.449  0.783 x4
Sn  0.000  0.093  0.377 x4
Sn  0.000  0.204  0.816 x4
Sn  0.000  0.213  0.233 x4
Sn  0.000  0.377  0.505 x4
Sn  0.000  0.451  0.166 x4

Computed properties:
The value obtained for the total magnetization is 0.0 μB/cell. The density of states at the Fermi level comes out at 8.09 states/eV/f.u. The value obtained for the formation energy from the elements is -0.368 eV per atom. The calculation puts the total energy at -5.46 eV per atom.

=====

# 2
A relaxed structure of Pr3Co2Sn4. Source: Alexandria, functional PBE.

Cell lengths 11.585, 4.544, 8.722 Å; angles 90.00, 105.59, 90.00 degrees
Space group C2/m (No. 12)
Inequivalent atoms, fractional coordinates:
Pr  0.000  0.000  0.000 x2
Pr  0.125  0.500  0.688 x4
Co  0.199  0.500  0.386 x4
Sn  0.099  0.000  0.395 x4
Sn  0.207  0.500  0.089 x4

Computed properties:
The value obtained for the total magnetization is 0.0 μB/cell. The density of states at the Fermi level comes out at 7.78 states/eV/f.u. The value obtained for the formation energy from the elements is -0.535 eV per atom. The calculation puts the total energy at -5.49 eV per atom.

=====

# 3
A relaxed structure of PrCoSn4. Source: Alexandria, functional PBE.

Cell lengths 6.738, 7.201, 7.203 Å; angles 79.05, 89.98, 62.16 degrees
Space group P-1 (No. 2)
Inequivalent atoms, fractional coordinates:
Pr  0.093  0.000  0.249 x2
Co  0.000  0.500  0.500 x1
Co  0.500  0.500  0.000 x1
Sn  0.123  0.540  0.148 x2
Sn  0.303  0.135  0.569 x2
Sn  0.337  0.540  0.648 x2
Sn  0.440  0.864  0.929 x2

Computed properties:
The value obtained for the total magnetization is 0.0 μB/cell. The density of states at the Fermi level comes out at 4.18 states/eV/f.u. The value obtained for the formation energy from the elements is -0.216 eV per atom. The calculation puts the total energy at -4.87 eV per atom.

=====

# 4
A relaxed structure of Pr2CoSn. Source: Alexandria, functional PBE.

Cell lengths 3.8212, 3.8212, 29.5458 Å; angles 90.00, 90.00, 120.00 degrees
Space group R-3m (No. 166, hexagonal axes)
Inequivalent atoms, fractional coordinates:
Pr  0.0000  0.0000  0.1116 x6
Co  0.0000  0.0000  0.5000 x3
Sn  0.0000  0.0000  0.0000 x3

Computed properties:
The value obtained for the total magnetization is 0.0 μB/cell. Its relative energy among the computed polymorphs is 360 meV per atom. The density of states at the Fermi level comes out at 3.84 states/eV/f.u. The value obtained for the formation energy from the elements is 0.083 eV per atom. The calculation puts the total energy at -5.08 eV per atom.

=====

# 5
A relaxed structure of Pr4CoSn8. Source: Alexandria, functional PBE.

Cell lengths 4.491, 4.573, 17.069 Å; angles 90.00, 90.00, 90.00 degrees
Space group Pmm2 (No. 25)
Inequivalent atoms, fractional coordinates:
Pr  0.000  0.000  0.000 x1
Pr  0.000  0.500  0.496 x1
Pr  0.500  0.000  0.199 x1
Pr  0.500  0.500  0.703 x1
Co  0.500  0.000  0.407 x1
Sn  0.000  0.000  0.340 x1
Sn  0.000  0.000  0.668 x1
Sn  0.000  0.500  0.159 x1
Sn  0.000  0.500  0.853 x1
Sn  0.500  0.000  0.552 x1
Sn  0.500  0.000  0.851 x1
Sn  0.500  0.500  0.038 x1
Sn  0.500  0.500  0.341 x1

Computed properties:
The value obtained for the total magnetization is 0.0 μB/cell. The density of states at the Fermi level comes out at 7.74 states/eV/f.u. The value obtained for the formation energy from the elements is -0.601 eV per atom. The calculation puts the total energy at -5.08 eV per atom.

=====

# 6
A relaxed structure of Pr12Co6Sn. Source: Alexandria, functional PBE.

Cell lengths 10.097, 10.097, 10.097 Å; angles 90.00, 90.00, 90.00 degrees
Space group Im-3 (No. 204)
Inequivalent atoms, fractional coordinates:
Pr  0.000  0.192  0.306 x24
Co  0.000  0.390  0.500 x12
Sn  0.000  0.000  0.000 x2

Computed properties:
The value obtained for the total magnetization is 0.0 μB/cell. The density of states at the Fermi level comes out at 12.51 states/eV/f.u. The value obtained for the formation energy from the elements is -0.151 eV per atom. The calculation puts the total energy at -5.62 eV per atom.

=====

# 7
A relaxed structure of Pr7Co2Sn. Source: Alexandria, functional PBE.

Cell lengths 9.462, 13.630, 5.097 Å; angles 90.00, 90.00, 90.00 degrees
Space group Cmmm (No. 65)
Inequivalent atoms, fractional coordinates:
Pr  0.000  0.000  0.000 x2
Pr  0.000  0.211  0.500 x4
Pr  0.182  0.371  0.000 x8
Co  0.000  0.204  0.000 x4
Sn  0.000  0.500  0.500 x2

Computed properties:
The value obtained for the total magnetization is 0.0 μB/cell. The density of states at the Fermi level comes out at 8.79 states/eV/f.u. The value obtained for the formation energy from the elements is -0.031 eV per atom. The calculation puts the total energy at -5.20 eV per atom.

=====

# 8
A relaxed structure of SrPr2Co. Source: Alexandria, functional PBE.

Cell lengths 4.1046, 4.1046, 29.1944 Å; angles 90.00, 90.00, 120.00 degrees
Space group R3m (No. 160, hexagonal axes)
Inequivalent atoms, fractional coordinates:
Sr  0.0000  0.0000  0.0000 x3
Pr  0.0000  0.0000  0.5484 x3
Pr  0.0000  0.0000  0.7823 x3
Co  0.0000  0.0000  0.1653 x3

Computed properties:
The value obtained for the total magnetization is 0.0 μB/cell. Its relative energy among the computed polymorphs is 0 meV per atom. The density of states at the Fermi level comes out at 4.16 states/eV/f.u. The value obtained for the formation energy from the elements is 0.015 eV per atom. The calculation puts the total energy at -4.57 eV per atom.